Entry 1:
Compound: BaTl2AsO4
Source: Alexandria
Functional: PBE-GGA
Structure: optimized geometry

The structure in CIF format:
```
data_BaTl2AsO4
_chemical_formula_sum 'Ba2 Tl4 As2 O8'
_space_group_name_H-M_alt 'P m n 21'
_space_group_IT_number 31
_cell_length_a 7.101
_cell_length_b 9.774
_cell_length_c 5.284
_cell_angle_alpha 90.00
_cell_angle_beta 90.00
_cell_angle_gamma 90.00
loop_
_space_group_symop_operation_xyz
'x,y,z'
'-x+1/2,-y,z+1/2'
'-x,y,z'
'x+1/2,-y,z+1/2'
loop_
_atom_site_label
_atom_site_fract_x
_atom_site_fract_y
_atom_site_fract_z
Ba1 0.000 0.089 0.000
Tl1 0.239 0.607 0.969
As1 0.000 0.824 0.442
O1 0.000 0.820 0.113
O2 0.000 0.998 0.516
O3 0.204 0.748 0.551
```

Entry 2:
Compound: BaTlAs2O8
Source: Alexandria
Functional: PBE-GGA
Structure: optimized geometry

The structure in CIF format:
```
data_BaTlAs2O8
_chemical_formula_sum 'Ba3 Tl3 As6 O24'
_space_group_name_H-M_alt 'R 3 2'
_space_group_IT_number 155
_space_group_name_Hall 'R 3 2"'
_cell_length_a 5.2079
_cell_length_b 5.2079
_cell_length_c 24.0087
_cell_angle_alpha 90.00
_cell_angle_beta 90.00
_cell_angle_gamma 120.00
loop_
_atom_site_label
_atom_site_fract_x
_atom_site_fract_y
_atom_site_fract_z
Ba1 0.0000 0.0000 0.0000
Tl1 0.0000 0.0000 0.5000
As1 0.0000 0.0000 0.2456
O1 0.0000 0.0000 0.3173
O2 0.0024 0.3206 0.7735
```

Entry 3:
Compound: BaTlAsO4
Source: Alexandria
Functional: PBE-GGA
Structure: optimized geometry

The structure in CIF format:
```
data_BaTlAsO4
_chemical_formula_sum 'Ba4 Tl4 As4 O16'
_space_group_name_H-M_alt 'I m m a'
_space_group_IT_number 74
_space_group_name_Hall '-I 2b 2'
_cell_length_a 6.591
_cell_length_b 7.745
_cell_length_c 9.904
_cell_angle_alpha 90.00
_cell_angle_beta 90.00
_cell_angle_gamma 90.00
loop_
_atom_site_label
_atom_site_fract_x
_atom_site_fract_y
_atom_site_fract_z
Ba1 0.000 0.000 0.000
Tl1 0.250 0.250 0.250
As1 0.000 0.250 0.628
O1 0.000 0.064 0.725
O2 0.214 0.250 0.523
```

Entry 4:
Compound: BaTm3As4O12
Source: Alexandria
Functional: PBE-GGA
Structure: optimized geometry

The structure in CIF format:
```
data_BaTm3As4O12
_chemical_formula_sum 'Ba3 Tm9 As12 O36'
_space_group_name_H-M_alt 'R 3 2'
_space_group_IT_number 155
_space_group_name_Hall 'R 3 2"'
_cell_length_a 11.3173
_cell_length_b 11.3173
_cell_length_c 8.7334
_cell_angle_alpha 90.00
_cell_angle_beta 90.00
_cell_angle_gamma 120.00
loop_
_atom_site_label
_atom_site_fract_x
_atom_site_fract_y
_atom_site_fract_z
Ba1 0.0000 0.0000 0.0000
Tm1 0.0000 0.5730 0.0000
As1 0.0000 0.0000 0.5000
As2 0.0000 0.4084 0.5000
O1 0.0000 0.5666 0.5000
O2 0.0000 0.8288 0.5000
O3 0.0460 0.2000 0.2140
```

no.,spin magnetization (μB/f.u.),DOS(E_F) (states/eV/cell),E_form (uncorrected) (eV/atom)
1,0.00,1.862,-1.46
2,1.11,25.705,-1.30
3,0.00,0.573,-1.61
4,0.00,14.202,-2.01